1.
# PBE Li2ScCu3, optimized geometry
data_Li2ScCu3
_cell_length_a 7.461
_cell_length_b 8.925
_cell_length_c 5.215
_cell_angle_alpha 90.00
_cell_angle_beta 90.00
_cell_angle_gamma 90.00
_symmetry_space_group_name_H-M 'I m m a'
_symmetry_Int_Tables_number 74
_symmetry_space_group_name_Hall '-I 2b 2'
loop_
_atom_site_label
_atom_site_fract_x
_atom_site_fract_y
_atom_site_fract_z
Li1 0.000 0.088 0.176
Sc1 0.000 0.250 0.686
Cu1 0.208 0.000 0.500
Cu2 0.250 0.250 0.250
# ΔE_f: 0.01 eV per atom
# M_tot: 0.0 μB per formula unit


2.
# PBE ZnHgBr2, optimized geometry
data_ZnHgBr2
_cell_length_a 4.793
_cell_length_b 4.906
_cell_length_c 5.417
_cell_angle_alpha 90.00
_cell_angle_beta 90.00
_cell_angle_gamma 90.00
_symmetry_space_group_name_H-M 'P m m m'
_symmetry_Int_Tables_number 47
loop_
_symmetry_equiv_pos_as_xyz
'x,y,z'
'-x,-y,-z'
'-x,-y,z'
'x,y,-z'
'x,-y,-z'
'-x,y,z'
'-x,y,-z'
'x,-y,z'
loop_
_atom_site_label
_atom_site_fract_x
_atom_site_fract_y
_atom_site_fract_z
Zn1 0.000 0.000 0.000
Hg1 0.500 0.500 0.500
Br1 0.000 0.000 0.500
Br2 0.500 0.500 0.000
# Formation energy from raw total energies: -63 kJ/mol of formula units
# M_tot: 0.0 μB per formula unit


3.
# PBE MgMn2Ag, optimized geometry
data_MgMn2Ag
_cell_length_a 3.046
_cell_length_b 3.096
_cell_length_c 6.713
_cell_angle_alpha 90.00
_cell_angle_beta 90.00
_cell_angle_gamma 90.00
_symmetry_space_group_name_H-M 'P m m 2'
_symmetry_Int_Tables_number 25
loop_
_symmetry_equiv_pos_as_xyz
'x,y,z'
'-x,-y,z'
'-x,y,z'
'x,-y,z'
loop_
_atom_site_label
_atom_site_fract_x
_atom_site_fract_y
_atom_site_fract_z
Mg1 0.000 0.000 0.000
Mn1 0.000 0.000 0.447
Mn2 0.500 0.500 0.281
Ag1 0.500 0.500 0.717
# ΔE_f: 0.12 eV per atom
# M_tot: 0.4 μB per formula unit


4.
# PBE NaHg2SbPd, optimized geometry
data_NaHg2SbPd
_cell_length_a 5.297
_cell_length_b 5.297
_cell_length_c 5.214
_cell_angle_alpha 90.00
_cell_angle_beta 90.00
_cell_angle_gamma 90.00
_symmetry_space_group_name_H-M 'P 4/m m m'
_symmetry_Int_Tables_number 123
_symmetry_space_group_name_Hall '-P 4 2'
loop_
_atom_site_label
_atom_site_fract_x
_atom_site_fract_y
_atom_site_fract_z
Na1 0.000 0.000 0.000
Hg1 0.000 0.500 0.500
Sb1 0.500 0.500 0.000
Pd1 0.500 0.500 0.500
# Formation energy from raw total energies: -37 kJ/mol of formula units
# M_tot: 0.0 μB per formula unit


5.
# PBE AgGePb3, optimized geometry
data_AgGePb3
_cell_length_a 5.478
_cell_length_b 5.478
_cell_length_c 5.478
_cell_angle_alpha 90.00
_cell_angle_beta 90.00
_cell_angle_gamma 90.00
_symmetry_space_group_name_H-M 'P m -3 m'
_symmetry_Int_Tables_number 221
_symmetry_space_group_name_Hall '-P 4 2 3'
loop_
_atom_site_label
_atom_site_fract_x
_atom_site_fract_y
_atom_site_fract_z
Ag1 0.000 0.000 0.000
Ge1 0.500 0.500 0.500
Pb1 0.000 0.000 0.500
# ΔE_f: 0.57 eV per atom
# M_tot: 0.0 μB per formula unit


6.
# PBE TaGe2H, optimized geometry
data_TaGe2H
_cell_length_a 6.009
_cell_length_b 6.009
_cell_length_c 6.133
_cell_angle_alpha 90.00
_cell_angle_beta 90.00
_cell_angle_gamma 90.00
_symmetry_space_group_name_H-M 'I -4 2 d'
_symmetry_Int_Tables_number 122
_symmetry_space_group_name_Hall 'I -4 2bw'
loop_
_atom_site_label
_atom_site_fract_x
_atom_site_fract_y
_atom_site_fract_z
Ta1 0.000 0.000 0.000
Ge1 0.151 0.250 0.625
H1 0.000 0.000 0.500
# Total DFT energy (no corrections): -23.55 eV/f.u.
# M_tot: 0.0 μB per formula unit